DFT (PBE) results for a geometry-optimized Nd2Mo3N8 structure.

## Properties
The calculation puts the total energy at -230.18 eV/cell. The value obtained for the formation energy from raw total energies is -0.50 eV/atom. The density of states at the Fermi level comes out at 0.51 states/eV/f.u.

```
data_Nd2Mo3N8
_chemical_formula_sum 'Nd4 Mo6 N16'
_cell_length_a 11.7183
_cell_length_b 6.4700
_cell_length_c 5.1400
_cell_angle_alpha 90.00
_cell_angle_beta 111.63
_cell_angle_gamma 90.00
_symmetry_space_group_name_H-M 'C 1 2/m 1'
_symmetry_Int_Tables_number 12
loop_
_symmetry_equiv_pos_as_xyz
'x,y,z'
'-x,-y,-z'
'-x,y,-z'
'x,-y,z'
'x+1/2,y+1/2,z'
'-x+1/2,-y+1/2,-z'
'-x+1/2,y+1/2,-z'
'x+1/2,-y+1/2,z'
loop_
_atom_site_label
_atom_site_type_symbol
_atom_site_fract_x
_atom_site_fract_y
_atom_site_fract_z
Nd1 Nd 0.2315 0.0000 0.1538
Mo1 Mo 0.0000 0.2211 0.5000
Mo2 Mo 0.0000 0.5000 0.0000
N1 N 0.1003 0.0000 0.4439
N2 N 0.1034 0.5000 0.4038
N3 N 0.1048 0.2845 0.8940
```